Record 1
# AgP2AuCl, relaxed, DFT PBE
data_AgP2AuCl
_chemical_formula_sum 'Ag1 P2 Au1 Cl1'
_space_group_name_H-M_alt 'P 4/m m m'
_space_group_IT_number 123
_space_group_name_Hall '-P 4 2'
_cell_length_a 4.700
_cell_length_b 4.700
_cell_length_c 5.859
_cell_angle_alpha 90.00
_cell_angle_beta 90.00
_cell_angle_gamma 90.00
loop_
_atom_site_label
_atom_site_type_symbol
_atom_site_fract_x
_atom_site_fract_y
_atom_site_fract_z
_atom_site_occupancy
Ag1 Ag 0.000 0.000 0.000 1
P1 P 0.000 0.500 0.500 1
Au1 Au 0.500 0.500 0.500 1
Cl1 Cl 0.500 0.500 0.000 1
# Crystal system: tetragonal
# Total magnetization (μB/f.u.): 1.57
# Calculated density (g cm⁻³): 5.2
# DOS(E_F) (states/eV/cell): 3.260
# Formation energy from raw total energies (meV per atom): 849


Record 2
# Ag2PbAuCl6, relaxed, DFT PBE
data_Ag2PbAuCl6
_chemical_formula_sum 'Ag2 Pb1 Au1 Cl6'
_space_group_name_H-M_alt 'P -1'
_space_group_IT_number 2
_space_group_name_Hall '-P 1'
_cell_length_a 6.840
_cell_length_b 7.012
_cell_length_c 7.041
_cell_angle_alpha 109.44
_cell_angle_beta 114.12
_cell_angle_gamma 92.48
loop_
_atom_site_label
_atom_site_type_symbol
_atom_site_fract_x
_atom_site_fract_y
_atom_site_fract_z
_atom_site_occupancy
Ag1 Ag 0.208 0.104 0.436 1
Pb1 Pb 0.000 0.500 0.000 1
Au1 Au 0.500 0.000 0.000 1
Cl1 Cl 0.094 0.750 0.454 1
Cl2 Cl 0.276 0.222 0.162 1
Cl3 Cl 0.433 0.754 0.149 1
# Crystal system: triclinic
# Total magnetization (μB/f.u.): 0.77
# Calculated density (g cm⁻³): 4.9
# DOS(E_F) (states/eV/cell): 3.275
# Formation energy from raw total energies (meV per atom): -554